Crystalline MgSbRh3 at its relaxed geometry, computed with PBE-GGA.

Output
Total moment, Bohr magnetons per cell: 0.000
Total energy, eV per atom: -5.05
Density of states at the Fermi level, states/eV/atom: 0.222
Distance to the lowest polymorph of the same formula, eV/atom: 0.0000

Unit cell a=4.811 b=4.811 c=4.811 alpha=90.00 beta=90.00 gamma=90.00
Space group Pm-3m (No. 221)
Unique sites:
Mg1 0.000 0.000 0.000
Sb1 0.500 0.500 0.500
Rh1 0.000 0.500 0.500